! ErPuAlO6 PBE relaxed; values from VASP
! Uncorrected formation energy   -2902.0 meV per atom
! Spin magnetization   2.0 μB per formula unit
! Density of states at the Fermi level   7.49 states/eV/f.u.
&SYSTEM
  ibrav = 0, nat = 18, ntyp = 4
/
ATOMIC_SPECIES
Er 167.26 Er.upf
Pu 244.00 Pu.upf
Al 26.98 Al.upf
O 16.00 O.upf
CELL_PARAMETERS angstrom
5.227 0.000 0.000
-2.614 4.527 0.000
0.000 0.000 9.696
ATOMIC_POSITIONS crystal
Er 0.000 0.000 0.000
Er 0.000 0.000 0.500
Pu 0.333 0.667 0.250
Pu 0.667 0.333 0.750
Al 0.333 0.667 0.750
Al 0.667 0.333 0.250
O 0.020 0.363 0.639
O 0.020 0.657 0.861
O 0.343 0.363 0.861
O 0.343 0.980 0.639
O 0.363 0.020 0.139
O 0.363 0.343 0.361
O 0.637 0.657 0.639
O 0.637 0.980 0.861
O 0.657 0.020 0.361
O 0.657 0.637 0.139
O 0.980 0.343 0.139
O 0.980 0.637 0.361